(1)
Material: V2CrCl8
Method: DFT, PBE
State: relaxed

Summary:
- ΔE_f (raw): -1.055 eV per atom

Lattice parameters (Å, degrees): 11.7545 9.5424 6.3083 90.00 92.64 90.00
Last column: nearest neighbours and their distance in Å.
Space group C2/m (No. 12)
Symmetry-distinct sites (fractional):
V 0.2070 0.0000 0.1489  4 Cl 2.17-2.30
Cr 0.0000 0.0000 0.5000  4 Cl 2.40
Cl 0.0986 0.1712 0.3000  1 V 2.30, 1 Cr 2.40
Cl 0.1145 0.5000 0.7456  1 V 2.17
Cl 0.1811 0.0000 0.7965  1 V 2.23

(2)
Material: ZnHg3F7
Method: DFT, PBE
State: relaxed

Summary:
- ΔE_f (raw): -1.580 eV per atom

Lattice parameters (Å, degrees): 11.0648 7.9909 7.7397 90.00 90.00 90.00
Last column: nearest neighbours and their distance in Å.
Space group Cmcm (No. 63)
Symmetry-distinct sites (fractional):
Zn 0.0000 0.0000 0.0000  6 F 2.01-2.09
Hg 0.0000 0.5000 0.0000  4 F 2.47
Hg 0.2276 0.2201 0.2500  6 F 2.36-2.45
F 0.0000 0.0660 0.2500  2 Zn 2.01
F 0.1317 0.1866 0.5254  1 Zn 2.09
F 0.1387 0.4902 0.2500  4 Hg 2.36-2.47

(3)
Material: La3Au2
Method: DFT, PBE
State: relaxed

Summary:
- Energy of formation from the pure elements: -0.513 eV per atom
- Excess energy over the best structure of this formula in the dataset: 136 meV/atom

Lattice parameters (Å, degrees): 10.9851 15.6735 6.5736 90.00 90.00 90.00
Last column: nearest neighbours and their distance in Å.
Space group Fdd2 (No. 43)
Symmetry-distinct sites (fractional):
La 0.0000 0.0000 0.0000  6 Au 3.15-3.46
La 0.0529 0.1038 0.5143  5 Au 3.23-3.40, 4 La 3.27-3.60
Au 0.0284 0.1995 0.9657  8 La 3.15-3.46